NdCrClO4 | PBE with a Hubbard U | optimized geometry

a b c (Å): 10.241 7.422 6.821
angles (deg): 90.00 104.76 90.00
Space group C2/m (No. 12)
Asymmetric unit:
1 Nd 0.224 0.000 0.119 x4
2 Cr 0.139 0.500 0.266 x4
3 Cl 0.017 0.000 0.762 x4
4 O 0.025 0.500 0.766 x4
5 O 0.188 0.322 0.146 x8
6 O 0.214 0.500 0.509 x4

Results
Total DFT energy (no corrections) ... -6.8624 eV per atom
Density ... 3.9 g cm⁻³